Density functional theory data (PBE-GGA) for crystalline Sm5In2Ge at its relaxed geometry.

Properties
VASP energy = -4.689 eV/atom
magnetization = 0.00 μB/atom
V = 29.04 A^3/atom

Cell: 6.9381 13.0436 5.1347 Å, 90.00 90.00 90.00°
Closest atoms and distances in Å follow each position.
Space group Pbam (No. 55)
Unique sites:
Sm (0.0000, 0.0000, 0.0000) [2 per cell]  4 In 3.38, 2 Ge 3.47, 6 Sm 3.62-3.78
Sm (0.1303, 0.2813, 0.0000) [4 per cell]  1 Ge 2.99, 2 In 3.22
Sm (0.1710, 0.5884, 0.5000) [4 per cell]  2 Ge 3.05, 2 In 3.20-3.35, 1 Sm 3.31
In (0.1142, 0.8431, 0.5000) [4 per cell]  9 Sm 3.20-3.53
Ge (0.0000, 0.5000, 0.0000) [2 per cell]  6 Sm 2.99-3.05